Record 1
DFT (PBE) results for a relaxed structure of Pm3Ho2Sc3.

Unit cell a=4.8111 b=4.9637 c=19.8521 alpha=90.00 beta=90.00 gamma=90.00
Space group Immm (No. 71)
Asymmetric unit:
Pm 0.0000 0.0000 0.0000 (multiplicity 2)
Pm 0.0000 0.5000 0.1223 (multiplicity 4)
Ho 0.0000 0.0000 0.2481 (multiplicity 4)
Sc 0.0000 0.0000 0.5000 (multiplicity 2)
Sc 0.0000 0.5000 0.3750 (multiplicity 4)

Results
Final energy, eV for the cell shown: -84.0
DOS at the Fermi energy, states/eV per atom: 1.586
Energy of formation from the pure elements, eV per formula unit: 0.4

---

Record 2
DFT (PBE) results for a relaxed structure of Y2Zn2Ir.

Unit cell a=4.6265 b=4.9525 c=8.9624 alpha=90.00 beta=90.00 gamma=90.00
Space group Immm (No. 71)
Asymmetric unit:
Y 0.0000 0.0000 0.1870 (multiplicity 4)
Zn 0.0000 0.2512 0.5000 (multiplicity 4)
Ir 0.0000 0.5000 0.0000 (multiplicity 2)

Results
Final energy, eV for the cell shown: -54.0
Excess energy over the best structure of this formula in the dataset, meV per atom: 0
DOS at the Fermi energy, states/eV per atom: 0.614
Energy of formation from the pure elements, eV per formula unit: -2.6

---

Record 3
DFT (PBE) results for a relaxed structure of La2TmNi9.

Unit cell a=4.9777 b=4.9777 c=25.1205 alpha=90.00 beta=90.00 gamma=120.00
Space group R-3m (No. 166, hexagonal axes)
Asymmetric unit:
La 0.0000 0.0000 0.1373 (multiplicity 6)
Tm 0.0000 0.0000 0.0000 (multiplicity 3)
Ni 0.0000 0.0000 0.3327 (multiplicity 6)
Ni 0.0000 0.0000 0.5000 (multiplicity 3)
Ni 0.0011 0.5005 0.0786 (multiplicity 18)

Results
Final energy, eV for the cell shown: -211.7
DOS at the Fermi energy, states/eV per atom: 1.146
Energy of formation from the pure elements, eV per formula unit: -4.2

---

Record 4
DFT (PBE) results for a relaxed structure of RbInGe.

Unit cell a=13.1921 b=13.1921 c=5.1817 alpha=90.00 beta=90.00 gamma=90.00
Space group I4/mmm (No. 139)
Asymmetric unit:
Rb 0.0000 0.2296 0.0000 (multiplicity 8)
In 0.2143 0.2143 0.5000 (multiplicity 8)
Ge 0.0000 0.4072 0.5000 (multiplicity 8)

Results
Final energy, eV for the cell shown: -63.8
DOS at the Fermi energy, states/eV per atom: 0.055
Energy of formation from the pure elements, eV per formula unit: 0.4

---

Among the records above, which one has the lowest DOS at the Fermi energy? RbInGe

---

Which value of final energy does entry 4 give? -63.8 eV for the cell shown

---

Please write out number 2 again, unchanged.
DFT (PBE) results for a relaxed structure of Y2Zn2Ir.

Unit cell a=4.6265 b=4.9525 c=8.9624 alpha=90.00 beta=90.00 gamma=90.00
Space group Immm (No. 71)
Asymmetric unit:
Y 0.0000 0.0000 0.1870 (multiplicity 4)
Zn 0.0000 0.2512 0.5000 (multiplicity 4)
Ir 0.0000 0.5000 0.0000 (multiplicity 2)

Results
Final energy, eV for the cell shown: -54.0
Excess energy over the best structure of this formula in the dataset, meV per atom: 0
DOS at the Fermi energy, states/eV per atom: 0.614
Energy of formation from the pure elements, eV per formula unit: -2.6

---

Repeat the third record exactly.
DFT (PBE) results for a relaxed structure of La2TmNi9.

Unit cell a=4.9777 b=4.9777 c=25.1205 alpha=90.00 beta=90.00 gamma=120.00
Space group R-3m (No. 166, hexagonal axes)
Asymmetric unit:
La 0.0000 0.0000 0.1373 (multiplicity 6)
Tm 0.0000 0.0000 0.0000 (multiplicity 3)
Ni 0.0000 0.0000 0.3327 (multiplicity 6)
Ni 0.0000 0.0000 0.5000 (multiplicity 3)
Ni 0.0011 0.5005 0.0786 (multiplicity 18)

Results
Final energy, eV for the cell shown: -211.7
DOS at the Fermi energy, states/eV per atom: 1.146
Energy of formation from the pure elements, eV per formula unit: -4.2